No. 1
! PBE La3Pm2Y3, optimized geometry; values from VASP
! formation enthalpy at 0 K = 0.025 eV/atom
! DFT total energy = -5.434 eV per atom
! distance to the lowest polymorph of the same formula = 0.013 eV/atom
&SYSTEM
  ibrav = 0, nat = 8, ntyp = 3
/
ATOMIC_SPECIES
La 138.91 La.upf
Pm 145.00 Pm.upf
Y 88.91 Y.upf
CELL_PARAMETERS angstrom
-0.171 3.065 -4.106
-2.354 -3.759 -2.708
-7.995 3.937 6.471
ATOMIC_POSITIONS crystal
La 0.624 0.624 0.247
La 0.376 0.376 0.753
La 0.500 0.000 0.000
Pm 0.749 0.249 0.498
Pm 0.251 0.751 0.502
Y 0.127 0.127 0.253
Y 0.000 0.500 0.000
Y 0.873 0.873 0.747

=====

No. 2
! PBE La5Pm3Y3, optimized geometry; values from VASP
! formation enthalpy at 0 K = 0.293 eV/atom
! DFT total energy = -5.005 eV per atom
&SYSTEM
  ibrav = 0, nat = 11, ntyp = 3
/
ATOMIC_SPECIES
La 138.91 La.upf
Pm 145.00 Pm.upf
Y 88.91 Y.upf
CELL_PARAMETERS angstrom
3.494 0.000 0.000
0.000 9.972 -5.758
0.000 0.000 11.515
ATOMIC_POSITIONS crystal
La 0.500 0.667 0.333
La 0.500 0.333 0.667
La 0.500 0.338 0.000
La 0.500 0.662 0.662
La 0.500 0.000 0.338
Pm 0.000 0.596 0.000
Pm 0.000 0.000 0.596
Pm 0.000 0.404 0.404
Y 0.500 0.839 0.000
Y 0.500 0.161 0.161
Y 0.500 0.000 0.839

=====

No. 3
! PBE La3PmY12, optimized geometry; values from VASP
! formation enthalpy at 0 K = 0.030 eV/atom
! DFT total energy = -6.039 eV per atom
&SYSTEM
  ibrav = 0, nat = 16, ntyp = 3
/
ATOMIC_SPECIES
La 138.91 La.upf
Pm 145.00 Pm.upf
Y 88.91 Y.upf
CELL_PARAMETERS angstrom
5.110 0.000 0.000
0.000 5.110 0.000
0.000 0.000 20.439
ATOMIC_POSITIONS crystal
La 0.000 0.000 0.250
La 0.000 0.000 0.500
La 0.000 0.000 0.750
Pm 0.000 0.000 0.000
Y 0.500 0.500 0.000
Y 0.500 0.500 0.249
Y 0.500 0.500 0.500
Y 0.500 0.500 0.751
Y 0.500 0.000 0.123
Y 0.500 0.000 0.374
Y 0.500 0.000 0.626
Y 0.500 0.000 0.877
Y 0.000 0.500 0.123
Y 0.000 0.500 0.374
Y 0.000 0.500 0.626
Y 0.000 0.500 0.877

=====

No. 4
! PBE La4Pm4Y3, optimized geometry; values from VASP
! formation enthalpy at 0 K = 0.128 eV/atom
! DFT total energy = -5.154 eV per atom
! distance to the lowest polymorph of the same formula = 0.058 eV/atom
&SYSTEM
  ibrav = 0, nat = 11, ntyp = 3
/
ATOMIC_SPECIES
La 138.91 La.upf
Pm 145.00 Pm.upf
Y 88.91 Y.upf
CELL_PARAMETERS angstrom
5.828 0.000 0.000
-2.914 6.099 0.000
0.000 0.000 10.854
ATOMIC_POSITIONS crystal
La 0.756 0.512 0.801
La 0.756 0.512 0.199
La 0.891 0.782 0.500
La 0.955 0.909 0.000
Pm 0.616 0.233 0.500
Pm 0.542 0.084 0.000
Pm 0.105 0.211 0.697
Pm 0.105 0.211 0.303
Y 0.411 0.821 0.292
Y 0.411 0.821 0.708
Y 0.250 0.500 0.000

=====

No. 5
! PBE LaPm8Y2, optimized geometry; values from VASP
! formation enthalpy at 0 K = 0.136 eV/atom
! DFT total energy = -4.942 eV per atom
! distance to the lowest polymorph of the same formula = 0.026 eV/atom
&SYSTEM
  ibrav = 0, nat = 11, ntyp = 3
/
ATOMIC_SPECIES
La 138.91 La.upf
Pm 145.00 Pm.upf
Y 88.91 Y.upf
CELL_PARAMETERS angstrom
5.609 -0.714 -0.499
0.921 10.022 2.677
0.921 5.963 8.488
ATOMIC_POSITIONS crystal
La 0.000 0.000 0.000
Pm 0.270 0.135 0.598
Pm 0.270 0.598 0.135
Pm 0.730 0.865 0.402
Pm 0.239 0.545 0.545
Pm 0.730 0.402 0.865
Pm 0.231 0.188 0.188
Pm 0.769 0.812 0.812
Pm 0.761 0.455 0.455
Y 0.747 0.284 0.284
Y 0.253 0.716 0.716

=====

No. 6
! PBE LaPm10Y6, optimized geometry; values from VASP
! formation enthalpy at 0 K = 0.137 eV/atom
! DFT total energy = -5.229 eV per atom
&SYSTEM
  ibrav = 0, nat = 17, ntyp = 3
/
ATOMIC_SPECIES
La 138.91 La.upf
Pm 145.00 Pm.upf
Y 88.91 Y.upf
CELL_PARAMETERS angstrom
6.930 0.000 0.000
0.000 8.558 -4.941
0.000 0.000 9.882
ATOMIC_POSITIONS crystal
La 0.500 0.000 0.000
Pm 0.821 0.723 0.723
Pm 0.821 0.000 0.277
Pm 0.821 0.277 0.000
Pm 0.179 0.277 0.277
Pm 0.179 0.000 0.723
Pm 0.179 0.723 0.000
Pm 0.500 0.333 0.667
Pm 0.500 0.667 0.333
Pm 0.000 0.667 0.333
Pm 0.000 0.333 0.667
Y 0.691 0.372 0.372
Y 0.691 0.000 0.628
Y 0.691 0.628 0.000
Y 0.309 0.628 0.628
Y 0.309 0.000 0.372
Y 0.309 0.372 0.000

=====

No. 7
! PBE La2Pm4Y3, optimized geometry; values from VASP
! formation enthalpy at 0 K = 0.020 eV/atom
! DFT total energy = -5.341 eV per atom
! distance to the lowest polymorph of the same formula = 0.000 eV/atom
&SYSTEM
  ibrav = 0, nat = 9, ntyp = 3
/
ATOMIC_SPECIES
La 138.91 La.upf
Pm 145.00 Pm.upf
Y 88.91 Y.upf
CELL_PARAMETERS angstrom
-0.972 0.739 -5.028
-2.609 -7.685 -0.626
-5.525 4.133 4.339
ATOMIC_POSITIONS crystal
La 0.334 0.999 0.668
La 0.666 0.001 0.332
Pm 0.556 0.336 0.112
Pm 0.778 0.664 0.556
Pm 0.444 0.664 0.888
Pm 0.222 0.336 0.444
Y 0.890 0.335 0.780
Y 0.110 0.665 0.220
Y 0.000 0.000 0.000

=====

No. 8
! PBE La8Pm4Y, optimized geometry; values from VASP
! formation enthalpy at 0 K = 0.360 eV/atom
! DFT total energy = -4.631 eV per atom
&SYSTEM
  ibrav = 0, nat = 13, ntyp = 3
/
ATOMIC_SPECIES
La 138.91 La.upf
Pm 145.00 Pm.upf
Y 88.91 Y.upf
CELL_PARAMETERS angstrom
10.480 -0.001 -5.654
-6.765 9.800 -0.001
-2.925 -2.019 7.119
ATOMIC_POSITIONS crystal
La 0.527 0.764 0.291
La 0.473 0.236 0.709
La 0.342 0.171 0.014
La 0.157 0.328 0.986
La 0.658 0.829 0.986
La 0.157 0.829 0.986
La 0.843 0.171 0.014
La 0.843 0.672 0.014
Pm 0.000 0.000 0.000
Pm 0.000 0.500 0.000
Pm 0.500 0.500 0.000
Pm 0.500 0.000 0.000
Y 0.000 0.500 0.500

=====

No. 9
! PBE La5Pm2Y12, optimized geometry; values from VASP
! formation enthalpy at 0 K = 0.104 eV/atom
! DFT total energy = -5.776 eV per atom
&SYSTEM
  ibrav = 0, nat = 19, ntyp = 3
/
ATOMIC_SPECIES
La 138.91 La.upf
Pm 145.00 Pm.upf
Y 88.91 Y.upf
CELL_PARAMETERS angstrom
7.218 0.000 0.000
-3.609 10.146 -10.474
0.000 -6.125 15.210
ATOMIC_POSITIONS crystal
La 0.251 0.501 0.499
La 0.503 0.007 0.409
La 0.000 0.000 0.500
La 0.497 0.993 0.591
La 0.749 0.499 0.501
Pm 0.751 0.000 0.000
Pm 0.249 0.000 0.000
Y 0.963 0.925 0.119
Y 0.021 0.562 0.953
Y 0.541 0.562 0.953
Y 0.044 0.596 0.385
Y 0.552 0.596 0.385
Y 0.539 0.078 0.881
Y 0.461 0.922 0.119
Y 0.956 0.404 0.615
Y 0.448 0.404 0.615
Y 0.979 0.438 0.047
Y 0.459 0.438 0.047
Y 0.037 0.075 0.881

=====

No. 10
! PBE La7Pm3Y2, optimized geometry; values from VASP
! formation enthalpy at 0 K = 0.086 eV/atom
! DFT total energy = -5.053 eV per atom
! distance to the lowest polymorph of the same formula = 0.022 eV/atom
&SYSTEM
  ibrav = 0, nat = 12, ntyp = 3
/
ATOMIC_SPECIES
La 138.91 La.upf
Pm 145.00 Pm.upf
Y 88.91 Y.upf
CELL_PARAMETERS angstrom
3.642 0.000 0.000
0.000 6.015 -0.277
0.000 -3.874 19.719
ATOMIC_POSITIONS crystal
La 0.500 0.724 0.467
La 0.500 0.276 0.533
La 0.000 0.472 0.146
La 0.000 0.000 0.000
La 0.000 0.528 0.854
La 0.500 0.994 0.817
La 0.500 0.006 0.183
Pm 0.500 0.500 0.000
Pm 0.000 0.145 0.365
Pm 0.000 0.855 0.635
Y 0.500 0.590 0.298
Y 0.500 0.410 0.702

=====

No. 11
! PBE La4Pm3Y, optimized geometry; values from VASP
! formation enthalpy at 0 K = 0.201 eV/atom
! DFT total energy = -4.852 eV per atom
! distance to the lowest polymorph of the same formula = 0.169 eV/atom
&SYSTEM
  ibrav = 0, nat = 8, ntyp = 3
/
ATOMIC_SPECIES
Y 88.91 Y.upf
Pm 145.00 Pm.upf
La 138.91 La.upf
CELL_PARAMETERS angstrom
-3.050 -1.531 0.882
1.521 -5.051 -3.506
6.984 -4.048 10.086
ATOMIC_POSITIONS crystal
Y 0.500 0.000 0.000
Pm 0.000 0.500 0.000
Pm 0.143 0.746 0.285
Pm 0.857 0.254 0.715
La 0.720 0.246 0.441
La 0.280 0.754 0.559
La 0.106 0.238 0.212
La 0.894 0.762 0.788

=====

No. 12
! PBE La3PmY6, optimized geometry; values from VASP
! formation enthalpy at 0 K = 0.261 eV/atom
! DFT total energy = -5.570 eV per atom
! distance to the lowest polymorph of the same formula = 0.047 eV/atom
&SYSTEM
  ibrav = 0, nat = 10, ntyp = 3
/
ATOMIC_SPECIES
La 138.91 La.upf
Pm 145.00 Pm.upf
Y 88.91 Y.upf
CELL_PARAMETERS angstrom
8.872 0.000 4.708
3.187 8.280 4.708
2.283 1.568 6.410
ATOMIC_POSITIONS crystal
La 0.350 0.350 0.950
La 0.599 0.599 0.202
La 0.102 0.102 0.695
Pm 0.849 0.849 0.452
Y 0.924 0.603 0.198
Y 0.275 0.924 0.198
Y 0.603 0.275 0.198
Y 0.098 0.425 0.702
Y 0.776 0.098 0.702
Y 0.425 0.776 0.702

=====

Quick rundown of N(E_F), same order as above: 14.206 16.939 27.031 19.274 17.192 27.191 14.869 28.093 29.858 19.322 12.692 23.341 states/eV/cell
Quick rundown of volume, same order as above: 34.60 36.47 33.36 35.07 35.75 34.47 34.29 37.83 34.26 35.67 35.67 33.99 Å³ per atom